[1]
! TcPtPb2 PBE relaxed; values from VASP
! relative energy among the computed polymorphs: 27 meV per atom
! symmetry: No. 38
! E_form: 255 meV/atom
! calculated total energy: -22.8 eV for the cell shown
! total moment: 0.0 μB/cell
! crystal system: orthorhombic
&SYSTEM
  ibrav = 0, nat = 4, ntyp = 3
/
ATOMIC_SPECIES
Tc 98.00 Tc.upf
Pt 195.08 Pt.upf
Pb 207.20 Pb.upf
CELL_PARAMETERS angstrom
4.317 0.000 0.000
0.000 1.874 5.259
0.000 -1.874 5.259
ATOMIC_POSITIONS angstrom
Tc 0.000 0.000 0.000
Pt 2.159 0.000 9.018
Pb 0.000 0.000 2.939
Pb 2.159 0.000 6.105

---

[2]
! TcPt2Pb PBE relaxed; values from VASP
! relative energy among the computed polymorphs: 527 meV per atom
! symmetry: No. 122
! E_form: 633 meV/atom
! calculated total energy: -47.2 eV for the cell shown
! total moment: 0.0 μB/cell
! crystal system: tetragonal
&SYSTEM
  ibrav = 0, nat = 8, ntyp = 3
/
ATOMIC_SPECIES
Tc 98.00 Tc.upf
Pt 195.08 Pt.upf
Pb 207.20 Pb.upf
CELL_PARAMETERS angstrom
-2.567 2.567 7.362
2.567 -2.567 7.362
2.567 2.567 -7.362
ATOMIC_POSITIONS angstrom
Tc 0.000 0.000 0.000
Tc 0.000 2.567 3.681
Pt 3.851 0.967 -1.840
Pt 0.967 1.284 1.840
Pt -1.284 1.600 5.521
Pt 1.600 1.284 9.202
Pb 2.567 0.000 3.681
Pb 0.000 0.000 7.362